This record from Alexandria describes a geometry-optimized ErMnRe structure. The functional is PBE-GGA.

a = 5.278 Å, b = 5.278 Å, c = 5.278 Å
α = 90.34°, β = 121.25°, γ = 118.39°
Each line ends with the local moment (μB).
Atoms (fractional coordinates):
Er1 0.250 0.126 0.876  -0.21
Er2 0.750 0.874 0.124  -0.21
Mn1 0.000 0.500 0.500  1.76
Mn2 0.500 0.000 0.500  1.76
Re1 0.500 0.500 0.500  -0.23
Re2 0.000 0.500 0.000  -0.23

Summary:
For the volume, the calculation gives 17.4 Å³/atom. As for the calculated formation energy: -0.117 eV per atom. Its space-group type is Imma.